Here is a geometry-optimized K3Pm2NpO6 structure from Alexandria via LeMat-Bulk. Energies are from GGA-PBE.

It has space group C2/m (No. 12), with a = 6.2259 Å, b = 10.7831 Å, c = 6.6416 Å, α = 90.00°, β = 108.23° and γ = 90.00°. The inequivalent atoms are K at (0.0000, 0.0000, 0.0000), K at (0.0000, 0.3336, 0.0000), Pm at (0.0000, 0.1667, 0.5000), Np at (0.0000, 0.5000, 0.5000), O at (0.2266, 0.3368, 0.6899) and O at (0.2369, 0.0000, 0.6895).

The value obtained for the size of the total moment is 4.0 μB per formula unit. Its formation energy without anion corrections is -29.86 eV per formula unit.